(1)
A PBEsol-optimized structure of ZrTl2, computed with SCAN.

Cell lengths 11.666, 3.326, 7.620 Å; angles 90.00, 106.89, 90.00 degrees
Atoms (fractional coordinates):
Zr: 0.000 0.000 0.000
Zr: 0.168 0.500 0.332
Zr: 0.500 0.500 0.000
Zr: 0.668 0.000 0.332
Tl: 0.066 0.000 0.610
Tl: 0.219 0.500 0.958
Tl: 0.343 0.000 0.673
Tl: 0.393 0.000 0.270
Tl: 0.566 0.500 0.610
Tl: 0.719 0.000 0.958
Tl: 0.843 0.500 0.673
Tl: 0.893 0.500 0.270

Values from the calculation:
* calculated total energy: -175.623 eV/f.u.
* density of states at the Fermi level: 0.46 states/eV/atom
* mass density: 11740 kg/m³
* ΔE_f: -0.069 eV per atom

(2)
A PBEsol-optimized structure of BeTlS3, computed with SCAN.

Cell lengths 4.994, 4.994, 4.994 Å; angles 90.00, 90.00, 90.00 degrees
Atoms (fractional coordinates):
Be: 0.000 0.000 0.000
Tl: 0.500 0.500 0.500
S: 0.000 0.500 0.500
S: 0.500 0.000 0.500
S: 0.500 0.500 0.000

Values from the calculation:
* calculated total energy: -99.257 eV/f.u.
* density of states at the Fermi level: 0.96 states/eV/atom
* mass density: 4128 kg/m³
* raw formation energy: 1.268 eV/atom

(3)
A PBEsol-optimized structure of Tb5Ir3, computed with SCAN.

Cell lengths 10.780, 10.780, 6.272 Å; angles 90.00, 90.00, 90.00 degrees
Atoms (fractional coordinates):
Tb: 0.041 0.162 0.122
Tb: 0.041 0.338 0.622
Tb: 0.162 0.041 0.622
Tb: 0.162 0.459 0.122
Tb: 0.250 0.750 0.000
Tb: 0.250 0.750 0.500
Tb: 0.338 0.041 0.122
Tb: 0.338 0.459 0.622
Tb: 0.459 0.162 0.622
Tb: 0.459 0.338 0.122
Tb: 0.541 0.662 0.878
Tb: 0.541 0.838 0.378
Tb: 0.662 0.541 0.378
Tb: 0.662 0.959 0.878
Tb: 0.750 0.250 0.000
Tb: 0.750 0.250 0.500
Tb: 0.838 0.541 0.878
Tb: 0.838 0.959 0.378
Tb: 0.959 0.662 0.378
Tb: 0.959 0.838 0.878
Ir: 0.096 0.596 0.750
Ir: 0.096 0.904 0.250
Ir: 0.250 0.250 0.377
Ir: 0.250 0.250 0.877
Ir: 0.404 0.596 0.250
Ir: 0.404 0.904 0.750
Ir: 0.596 0.096 0.250
Ir: 0.596 0.404 0.750
Ir: 0.750 0.750 0.123
Ir: 0.750 0.750 0.623
Ir: 0.904 0.096 0.750
Ir: 0.904 0.404 0.250

Values from the calculation:
* calculated total energy: -454.869 eV/f.u.
* density of states at the Fermi level: 0.55 states/eV/atom
* mass density: 12498 kg/m³
* ΔE_f: -0.970 eV per atom
* E above lowest polymorph: 0.0 meV per atom

(4)
A PBEsol-optimized structure of SiSb2Mo, computed with SCAN.

Cell lengths 3.658, 4.950, 8.374 Å; angles 90.00, 90.00, 90.00 degrees
Atoms (fractional coordinates):
Si: 0.000 0.000 0.000
Si: 0.500 0.500 0.500
Sb: 0.000 0.500 0.270
Sb: 0.000 0.500 0.730
Sb: 0.500 0.000 0.230
Sb: 0.500 0.000 0.770
Mo: 0.000 0.000 0.500
Mo: 0.500 0.500 0.000

Values from the calculation:
* calculated total energy: -116.815 eV/f.u.
* density of states at the Fermi level: 0.57 states/eV/atom
* mass density: 8051 kg/m³
* raw formation energy: 0.652 eV/atom

(5)
A PBEsol-optimized structure of Be3SN, computed with SCAN.

Cell lengths 3.849, 3.849, 3.849 Å; angles 90.00, 90.00, 90.00 degrees
Atoms (fractional coordinates):
Be: 0.000 0.000 0.500
Be: 0.000 0.500 0.000
Be: 0.500 0.000 0.000
S: 0.000 0.000 0.000
N: 0.500 0.500 0.500

Values from the calculation:
* calculated total energy: -25.576 eV/f.u.
* density of states at the Fermi level: 0.29 states/eV/atom
* mass density: 2129 kg/m³
* raw formation energy: 1.281 eV/atom

(6)
A PBEsol-optimized structure of SrAs2Pt, computed with SCAN.

Cell lengths 4.718, 4.033, 4.900 Å; angles 90.00, 100.72, 90.00 degrees
Atoms (fractional coordinates):
Sr: 0.000 0.000 0.000
As: 0.256 0.500 0.644
As: 0.744 0.500 0.356
Pt: 0.500 0.000 0.500

Values from the calculation:
* calculated total energy: -136.766 eV/f.u.
* density of states at the Fermi level: 0.09 states/eV/atom
* mass density: 7840 kg/m³
* ΔE_f: -0.979 eV per atom

Question: The highest calculated total energy belongs to which entry?
Answer: Be3SN

Copy entry 2 word for word.
A PBEsol-optimized structure of BeTlS3, computed with SCAN.

Cell lengths 4.994, 4.994, 4.994 Å; angles 90.00, 90.00, 90.00 degrees
Atoms (fractional coordinates):
Be: 0.000 0.000 0.000
Tl: 0.500 0.500 0.500
S: 0.000 0.500 0.500
S: 0.500 0.000 0.500
S: 0.500 0.500 0.000

Values from the calculation:
* calculated total energy: -99.257 eV/f.u.
* density of states at the Fermi level: 0.96 states/eV/atom
* mass density: 4128 kg/m³
* raw formation energy: 1.268 eV/atom